one:
## CoCu3N (GGA-PBE)

Data for an optimized crystal structure of CoCu3N.

Calculated density, g/cm3: 5.4
Space group: Pm-3m

Unit cell a=4.326 b=4.326 c=4.326 alpha=90.00 beta=90.00 gamma=90.00
Last column: magnetic moment on the atom in μB.
Sites, in units of the cell vectors:
N1 0.500 0.500 0.500  -0.19
Co1 0.000 0.000 0.000  1.70
Cu1 0.000 0.500 0.000  0.12
Cu2 0.500 0.000 0.000  0.05
Cu3 0.000 0.000 0.500  0.28

***

two:
## CoCu3N (GGA-PBE)

Data for an optimized crystal structure of CoCu3N.

Calculated density, g/cm3: 7.8
Space group: Pm-3m

Unit cell a=3.828 b=3.828 c=3.828 alpha=90.00 beta=90.00 gamma=90.00
Last column: magnetic moment on the atom in μB.
Sites, in units of the cell vectors:
Cu1 0.000 0.500 0.000  -0.02
Cu2 0.500 0.000 0.000  -0.01
Cu3 0.000 0.000 0.500  -0.01
N1 0.000 0.000 0.000  0.00
Co1 0.500 0.500 0.500  1.43

***

Here is how they stack up, most stable first: two, one.

***

one:
## Co2CuNiN (GGA-PBE)

Data for an optimized crystal structure of Co2CuNiN.

Calculated density, g/cm3: 8.1
Space group: P4/mmm

Unit cell a=3.722 b=3.722 c=3.764 alpha=90.00 beta=90.00 gamma=90.00
Last column: magnetic moment on the atom in μB.
Sites, in units of the cell vectors:
Ni1 0.000 0.000 0.500  0.35
Cu1 0.500 0.500 0.500  0.04
N1 0.000 0.000 0.000  0.06
Co1 0.500 0.000 0.000  1.29
Co2 0.000 0.500 0.000  1.29

***

two:
## Co2CuNiN (GGA-PBE)

Data for an optimized crystal structure of Co2CuNiN.

Calculated density, g/cm3: 8.0
Space group: P4/mmm

Unit cell a=3.686 b=3.686 c=3.878 alpha=90.00 beta=90.00 gamma=90.00
Last column: magnetic moment on the atom in μB.
Sites, in units of the cell vectors:
Ni1 0.500 0.500 0.500  0.63
Co1 0.000 0.500 0.000  1.23
Co2 0.500 0.000 0.000  1.23
Cu1 0.000 0.000 0.500  0.01
N1 0.000 0.000 0.000  0.07

***

Here is how they stack up, most stable first: one, two.

***

one:
## CoCuSN2 (GGA-PBE)

Data for an optimized crystal structure of CoCuSN2.

Calculated density, g/cm3: 4.5
Space group: P4/mmm

Unit cell a=3.470 b=3.470 c=5.549 alpha=90.00 beta=90.00 gamma=90.00
Last column: magnetic moment on the atom in μB.
Sites, in units of the cell vectors:
N1 0.500 0.000 0.000  0.08
N2 0.000 0.500 0.000  0.08
Co1 0.000 0.000 0.000  0.41
S1 0.000 0.000 0.500  0.09
Cu1 0.500 0.500 0.500  0.03

***

two:
## CoCuSN2 (GGA-PBE)

Data for an optimized crystal structure of CoCuSN2.

Calculated density, g/cm3: 3.9
Space group: P4/mmm

Unit cell a=3.514 b=3.514 c=6.258 alpha=90.00 beta=90.00 gamma=90.00
Last column: magnetic moment on the atom in μB.
Sites, in units of the cell vectors:
N1 0.500 0.000 0.000  0.55
N2 0.000 0.500 0.000  0.55
Cu1 0.000 0.000 0.000  0.24
S1 0.000 0.000 0.500  0.19
Co1 0.500 0.500 0.500  2.07

***

Here is how they stack up, most stable first: one, two.

***

one:
## CoCuSN (GGA-PBE)

Data for an optimized crystal structure of CoCuSN.

Calculated density, g/cm3: 5.5
Space group: P1

Unit cell a=2.986 b=3.517 c=5.271 alpha=86.44 beta=84.78 gamma=66.97
Sites, in units of the cell vectors:
Co1 0.123 0.841 0.567
S1 0.455 0.259 0.343
Cu1 0.586 0.256 0.919
N1 0.636 0.752 0.770

***

two:
## CoCuSN (GGA-PBE)

Data for an optimized crystal structure of CoCuSN.

Calculated density, g/cm3: 5.3
Space group: P1

Unit cell a=3.429 b=4.182 c=4.477 alpha=72.77 beta=67.22 gamma=65.00
Sites, in units of the cell vectors:
N1 0.789 0.102 0.560
S1 0.790 0.769 0.897
Cu1 0.422 0.054 0.346
Co1 0.491 0.475 0.798

***

three:
## CoCuSN (GGA-PBE)

Data for an optimized crystal structure of CoCuSN.

Calculated density, g/cm3: 6.0
Space group: P3m1

Unit cell a=2.946 b=2.946 c=6.158 alpha=90.00 beta=90.00 gamma=120.00
Sites, in units of the cell vectors:
N1 0.000 0.000 0.712
S1 0.667 0.333 0.295
Co1 0.333 0.667 0.574
Cu1 0.000 0.000 0.018

***

Here is how they stack up, most stable first: one, three, two.

***

one:
## CoCuSN (GGA-PBE)

Data for an optimized crystal structure of CoCuSN.

Calculated density, g/cm3: 5.5
Space group: P1

Unit cell a=3.191 b=3.203 c=5.713 alpha=89.07 beta=89.27 gamma=60.55
Sites, in units of the cell vectors:
S1 0.432 0.651 0.746
N1 0.771 0.999 0.308
Cu1 0.762 0.981 0.974
Co1 0.437 0.663 0.372

***

two:
## CoCuSN (GGA-PBE)

Data for an optimized crystal structure of CoCuSN.

Calculated density, g/cm3: 6.0
Space group: R3m

Unit cell a=3.015 b=3.015 c=17.887 alpha=90.00 beta=90.00 gamma=120.00
Sites, in units of the cell vectors:
N1 0.333 0.667 0.186
N2 0.667 0.333 0.852
N3 0.000 0.000 0.519
Co1 0.333 0.667 0.473
Co2 0.000 0.000 0.807
Co3 0.667 0.333 0.140
Cu1 0.667 0.333 0.958
Cu2 0.333 0.667 0.291
Cu3 0.000 0.000 0.624
S1 0.333 0.667 0.714
S2 0.000 0.000 0.048
S3 0.667 0.333 0.381

***

Here is how they stack up, most stable first: one, two.

***

one:
## CoCuS2N (GGA-PBE)

Data for an optimized crystal structure of CoCuS2N.

Calculated density, g/cm3: 4.6
Space group: P4/mmm

Unit cell a=4.663 b=4.663 c=3.329 alpha=90.00 beta=90.00 gamma=90.00
Sites, in units of the cell vectors:
Cu1 0.500 0.500 0.500
Co1 0.000 0.000 0.000
N1 0.000 0.000 0.500
S1 0.000 0.500 0.000
S2 0.500 0.000 0.000

***

two:
## CoCuS2N (GGA-PBE)

Data for an optimized crystal structure of CoCuS2N.

Calculated density, g/cm3: 4.3
Space group: P4/mmm

Unit cell a=4.674 b=4.674 c=3.554 alpha=90.00 beta=90.00 gamma=90.00
Last column: magnetic moment on the atom in μB.
Sites, in units of the cell vectors:
S1 0.000 0.500 0.000  0.17
S2 0.500 0.000 0.000  0.17
N1 0.000 0.000 0.500  0.86
Co1 0.500 0.500 0.500  2.36
Cu1 0.000 0.000 0.000  0.11

***

Here is how they stack up, most stable first: one, two.

***

one:
## CoCuSeN2 (GGA-PBE)

Data for an optimized crystal structure of CoCuSeN2.

Calculated density, g/cm3: 5.1
Space group: P4/mmm

Unit cell a=3.626 b=3.626 c=5.694 alpha=90.00 beta=90.00 gamma=90.00
Last column: magnetic moment on the atom in μB.
Sites, in units of the cell vectors:
N1 0.000 0.500 0.000  -0.77
N2 0.500 0.000 0.000  -0.77
Co1 0.500 0.500 0.500  1.88
Se1 0.000 0.000 0.500  -0.08
Cu1 0.000 0.000 0.000  -0.25

***

two:
## CoCuSeN2 (GGA-PBE)

Data for an optimized crystal structure of CoCuSeN2.

Calculated density, g/cm3: 5.5
Space group: P4/mmm

Unit cell a=3.524 b=3.524 c=5.584 alpha=90.00 beta=90.00 gamma=90.00
Last column: magnetic moment on the atom in μB.
Sites, in units of the cell vectors:
Co1 0.000 0.000 0.000  0.33
Cu1 0.500 0.500 0.500  0.02
N1 0.500 0.000 0.000  0.07
N2 0.000 0.500 0.000  0.07
Se1 0.000 0.000 0.500  0.06

***

Here is how they stack up, most stable first: two, one.

***

one:
## Nb2Co2Cu (GGA-PBE)

Data for an optimized crystal structure of Nb2Co2Cu.

Calculated density, g/cm3: 8.2
Space group: P4/mbm

Unit cell a=7.342 b=7.342 c=2.756 alpha=90.00 beta=90.00 gamma=90.00
Sites, in units of the cell vectors:
Co1 0.635 0.865 0.500
Co2 0.365 0.135 0.500
Co3 0.865 0.365 0.500
Co4 0.135 0.635 0.500
Nb1 0.342 0.842 0.000
Nb2 0.158 0.342 0.000
Nb3 0.842 0.658 0.000
Nb4 0.658 0.158 0.000
Cu1 0.000 0.000 0.000
Cu2 0.500 0.500 0.000

***

two:
## Nb2Co2Cu (GGA-PBE)

Data for an optimized crystal structure of Nb2Co2Cu.

Calculated density, g/cm3: 8.6
Space group: P4/mbm

Unit cell a=6.858 b=6.858 c=3.032 alpha=90.00 beta=90.00 gamma=90.00
Sites, in units of the cell vectors:
Cu1 0.500 0.500 0.000
Cu2 0.000 0.000 0.000
Co1 0.130 0.370 0.000
Co2 0.370 0.870 0.000
Co3 0.870 0.630 0.000
Co4 0.630 0.130 0.000
Nb1 0.827 0.327 0.500
Nb2 0.327 0.173 0.500
Nb3 0.673 0.827 0.500
Nb4 0.173 0.673 0.500

***

Here is how they stack up, most stable first: two, one.

***

one:
## NbCoCu (GGA-PBE)

Data for an optimized crystal structure of NbCoCu.

Calculated density, g/cm3: 8.6
Space group: Cmce

Unit cell a=7.293 b=5.234 c=4.914 alpha=118.02 beta=90.00 gamma=90.00
Sites, in units of the cell vectors:
Co1 0.066 0.721 0.610
Co2 0.934 0.279 0.390
Co3 0.434 0.721 0.110
Co4 0.566 0.279 0.890
Nb1 0.904 0.191 0.846
Nb2 0.596 0.191 0.346
Nb3 0.096 0.809 0.154
Nb4 0.404 0.809 0.654
Cu1 0.750 0.691 0.845
Cu2 0.250 0.309 0.655
Cu3 0.750 0.691 0.345
Cu4 0.250 0.309 0.155

***

two:
## NbCoCu (GGA-PBE)

Data for an optimized crystal structure of NbCoCu.

Calculated density, g/cm3: 8.7
Space group: P3m1

Unit cell a=2.616 b=4.253 c=4.253 alpha=120.00 beta=90.00 gamma=90.00
Last column: magnetic moment on the atom in μB.
Sites, in units of the cell vectors:
Nb1 0.636 0.667 0.333  -0.08
Cu1 0.114 0.000 0.000  -0.01
Co1 0.250 0.333 0.667  1.02

***

Here is how they stack up, most stable first: one, two.

***

one:
## NbCoCu2 (GGA-PBE)

Data for an optimized crystal structure of NbCoCu2.

Calculated density, g/cm3: 8.2
Space group: I-42d

Unit cell a=6.875 b=6.875 c=5.421 alpha=50.65 beta=50.65 gamma=90.00
Sites, in units of the cell vectors:
Cu1 0.375 0.406 0.750
Cu2 0.156 0.625 0.250
Cu3 0.875 0.844 0.750
Cu4 0.594 0.125 0.250
Co1 0.250 0.750 0.500
Co2 0.500 0.500 0.000
Nb1 0.000 0.000 0.000
Nb2 0.750 0.250 0.500

***

two:
## NbCoCu2 (GGA-PBE)

Data for an optimized crystal structure of NbCoCu2.

Calculated density, g/cm3: 8.7
Space group: Fm-3m

Unit cell a=4.226 b=4.226 c=4.226 alpha=60.00 beta=60.00 gamma=60.00
Last column: magnetic moment on the atom in μB.
Sites, in units of the cell vectors:
Cu1 0.250 0.250 0.250  0.01
Cu2 0.750 0.750 0.750  0.01
Co1 0.000 0.000 0.000  1.27
Nb1 0.500 0.500 0.500  0.01

***

Here is how they stack up, most stable first: two, one.

***

one:
## Nb3CoCu (GGA-PBE)

Data for an optimized crystal structure of Nb3CoCu.

Calculated density, g/cm3: 7.0
Space group: Pm-3m

Unit cell a=4.567 b=4.567 c=4.567 alpha=90.00 beta=90.00 gamma=90.00
Sites, in units of the cell vectors:
Cu1 0.500 0.500 0.500
Nb1 0.500 0.000 0.000
Nb2 0.000 0.000 0.500
Nb3 0.000 0.500 0.000
Co1 0.000 0.000 0.000

***

two:
## Nb3CoCu (GGA-PBE)

Data for an optimized crystal structure of Nb3CoCu.

Calculated density, g/cm3: 6.8
Space group: Pm-3m

Unit cell a=4.603 b=4.603 c=4.603 alpha=90.00 beta=90.00 gamma=90.00
Sites, in units of the cell vectors:
Cu1 0.000 0.000 0.000
Nb1 0.000 0.000 0.500
Nb2 0.000 0.500 0.000
Nb3 0.500 0.000 0.000
Co1 0.500 0.500 0.500

***

Here is how they stack up, most stable first: one, two.

***

one:
## Nd2CoCu (GGA-PBE)

Data for an optimized crystal structure of Nd2CoCu.

Calculated density, g/cm3: 6.0
Space group: R-3m

Unit cell a=3.855 b=3.855 c=9.171 alpha=77.87 beta=77.87 gamma=60.00
Sites, in units of the cell vectors:
Nd1 0.108 0.108 0.676
Nd2 0.892 0.892 0.324
Cu1 0.000 0.000 0.000
Co1 0.500 0.500 0.500

***

two:
## Nd2CoCu (GGA-PBE)

Data for an optimized crystal structure of Nd2CoCu.

Calculated density, g/cm3: 7.7
Space group: P4/mmm

Unit cell a=3.504 b=3.504 c=7.203 alpha=90.00 beta=90.00 gamma=90.00
Last column: magnetic moment on the atom in μB.
Sites, in units of the cell vectors:
Nd1 0.000 0.000 0.239  -0.08
Nd2 0.000 0.000 0.761  -0.08
Cu1 0.500 0.500 0.500  0.00
Co1 0.500 0.500 0.000  1.01

***

three:
## Nd2CoCu (GGA-PBE)

Data for an optimized crystal structure of Nd2CoCu.

Calculated density, g/cm3: 7.8
Space group: Fm-3m

Unit cell a=4.983 b=4.983 c=4.983 alpha=60.00 beta=60.00 gamma=60.00
Last column: magnetic moment on the atom in μB.
Sites, in units of the cell vectors:
Nd1 0.750 0.750 0.750  -0.07
Nd2 0.250 0.250 0.250  -0.07
Cu1 0.500 0.500 0.500  -0.01
Co1 0.000 0.000 0.000  0.61

***

Here is how they stack up, most stable first: two, three, one.